Record 1
## Th6Te3AuS2 (GGA-PBE)

Data for a relaxed structure of Th6Te3AuS2. Values from VASP.

```
&SYSTEM
  ibrav = 0, nat = 12, ntyp = 4
/
ATOMIC_SPECIES
Th 232.04 Th.upf
Te 127.60 Te.upf
Au 196.97 Au.upf
S 32.06 S.upf
CELL_PARAMETERS angstrom
3.6208 -6.3053 0.0000
3.6208 6.3053 0.0000
-2.4183 0.0000 7.5037
ATOMIC_POSITIONS crystal
Th 0.0816 0.4282 0.7866
Th 0.2207 0.2207 0.2064
Th 0.4282 0.0816 0.7866
Th 0.5718 0.9184 0.2134
Th 0.7793 0.7793 0.7936
Th 0.9184 0.5718 0.2134
Te 0.0000 0.0000 0.5000
Te 0.3406 0.6594 0.5000
Te 0.6594 0.3406 0.5000
Au 0.5000 0.5000 0.0000
S 0.1687 0.8313 0.0000
S 0.8313 0.1687 0.0000
```

Computed properties:
DOS(E_F) = 7.3 states/eV/cell
formation energy from raw total energies = -1.243 eV/atom

Record 2
## Mg2BiBr (GGA-PBE)

Data for a relaxed structure of Mg2BiBr. Values from VASP.

```
&SYSTEM
  ibrav = 0, nat = 16, ntyp = 3
/
ATOMIC_SPECIES
Mg 24.30 Mg.upf
Bi 208.98 Bi.upf
Br 79.90 Br.upf
CELL_PARAMETERS angstrom
16.6080 0.0000 0.0000
0.0000 4.6117 0.0000
-0.1168 0.0000 6.9845
ATOMIC_POSITIONS crystal
Mg 0.0000 0.0000 0.0000
Mg 0.0315 0.0000 0.5141
Mg 0.2915 0.0000 0.1309
Mg 0.3870 0.0000 0.5806
Mg 0.5000 0.5000 0.0000
Mg 0.5315 0.5000 0.5141
Mg 0.7915 0.5000 0.1309
Mg 0.8870 0.5000 0.5806
Bi 0.0461 0.5000 0.7653
Bi 0.3749 0.5000 0.2924
Bi 0.5461 0.0000 0.7653
Bi 0.8749 0.0000 0.2924
Br 0.1359 0.0000 0.2351
Br 0.2576 0.0000 0.7749
Br 0.6359 0.5000 0.2351
Br 0.7576 0.5000 0.7749
```

Computed properties:
distance to the lowest polymorph of the same formula = 2.8 kJ/mol of atoms
formation energy from raw total energies = -0.610 eV/atom

Record 3
## Na3Sn3Hg2 (GGA-PBE)

Data for a relaxed structure of Na3Sn3Hg2. Values from VASP.

```
&SYSTEM
  ibrav = 0, nat = 16, ntyp = 3
/
ATOMIC_SPECIES
Na 22.99 Na.upf
Sn 118.71 Sn.upf
Hg 200.59 Hg.upf
CELL_PARAMETERS angstrom
2.3589 -5.6836 0.0000
2.3589 5.6836 0.0000
0.0000 0.0000 16.7308
ATOMIC_POSITIONS crystal
Na 0.0734 0.9266 0.6154
Na 0.0734 0.9266 0.8846
Na 0.3460 0.6540 0.7500
Na 0.6540 0.3460 0.2500
Na 0.9266 0.0734 0.1154
Na 0.9266 0.0734 0.3846
Sn 0.3709 0.6291 0.2500
Sn 0.3813 0.6187 0.5359
Sn 0.3813 0.6187 0.9641
Sn 0.6187 0.3813 0.0359
Sn 0.6187 0.3813 0.4641
Sn 0.6291 0.3709 0.7500
Hg 0.2172 0.7828 0.1142
Hg 0.2172 0.7828 0.3858
Hg 0.7828 0.2172 0.6142
Hg 0.7828 0.2172 0.8858
```

Computed properties:
energy of formation = -1.18 eV/f.u.
distance to the lowest polymorph of the same formula = 0.0 kJ/mol of atoms
DOS(E_F) = 9.0 states/eV/cell

Record 4
## Ce2PuMn2N6 (GGA-PBE)

Data for a relaxed structure of Ce2PuMn2N6. Values from VASP.

```
&SYSTEM
  ibrav = 0, nat = 11, ntyp = 4
/
ATOMIC_SPECIES
Ce 140.12 Ce.upf
Pu 244.00 Pu.upf
Mn 54.94 Mn.upf
N 14.01 N.upf
CELL_PARAMETERS angstrom
2.7919 1.6119 5.7510
-2.7919 1.6119 5.7510
0.0000 -3.2238 5.7510
ATOMIC_POSITIONS crystal
Ce 0.2078 0.2078 0.2078
Ce 0.7922 0.7922 0.7922
Pu 0.0000 0.0000 0.0000
Mn 0.4019 0.4019 0.4019
Mn 0.5981 0.5981 0.5981
N 0.2295 0.7434 0.7434
N 0.2566 0.2566 0.7705
N 0.2566 0.7705 0.2566
N 0.7434 0.2295 0.7434
N 0.7434 0.7434 0.2295
N 0.7705 0.2566 0.2566
```

Computed properties:
DOS(E_F) = 15.6 states/eV/cell
formation energy from raw total energies = -0.742 eV/atom

Number 1: total DFT energy (no corrections) -6.70 eV per atom. Number 2: total DFT energy (no corrections) -2.80 eV per atom. Number 3: total DFT energy (no corrections) -2.22 eV per atom. Number 4: total DFT energy (no corrections) -9.33 eV per atom.